(1)
Material: MgCo2W
Method: DFT, PBE
State: relaxed

Electronic total energy ... -6.91 eV per atom
V ... 14.09 Å³/atom
Total moment ... 0.521 μB per atom

a b c (Å): 2.7699 2.7699 25.4411
angles (deg): 90.00 90.00 120.00
Space group R-3m (No. 166, hexagonal axes)
Unique sites:
Mg 0.0000 0.0000 0.0000 [3 per cell]
Co 0.0000 0.0000 0.2469 [6 per cell]
W 0.0000 0.0000 0.5000 [3 per cell]

(2)
Material: Ce6P5Br
Method: DFT, PBE
State: relaxed

Electronic total energy ... -6.85 eV per atom
V ... 24.72 Å³/atom
Raw formation energy ... -1.487 eV/atom
Total moment ... 0.352 μB per atom

a b c (Å): 7.141 12.360 7.131
angles (deg): 90.00 109.51 90.00
Space group C2/m (No. 12)
Unique sites:
Ce 0.239 0.000 0.257 [4 per cell]
Ce 0.241 0.173 0.742 [8 per cell]
P 0.000 0.000 0.500 [2 per cell]
P 0.000 0.167 0.000 [4 per cell]
P 0.000 0.338 0.500 [4 per cell]
Br 0.000 0.500 0.000 [2 per cell]

(3)
Material: Ba2Re2Cl
Method: DFT, PBE
State: relaxed

Electronic total energy ... -6.30 eV per atom
V ... 27.33 Å³/atom
Raw formation energy ... -0.183 eV/atom
Total moment ... 0.000 μB per atom

a b c (Å): 3.691 3.691 20.061
angles (deg): 90.00 90.00 90.00
Space group I4/mmm (No. 139)
Unique sites:
Ba 0.000 0.000 0.112 [4 per cell]
Re 0.000 0.500 0.250 [4 per cell]
Cl 0.000 0.000 0.500 [2 per cell]

(4)
Material: InBiMo2
Method: DFT, PBE
State: relaxed

Electronic total energy ... -6.25 eV per atom
V ... 22.37 Å³/atom
Total moment ... 0.000 μB per atom

a b c (Å): 4.217 4.217 20.118
angles (deg): 90.00 90.00 90.00
Space group I-42d (No. 122)
Unique sites:
In 0.000 0.000 0.000 [4 per cell]
Bi 0.000 0.000 0.500 [4 per cell]
Mo 0.175 0.250 0.125 [8 per cell]

(5)
Material: PuThPtAu
Method: DFT, PBE
State: relaxed

Electronic total energy ... -8.45 eV per atom
V ... 23.86 Å³/atom
Total moment ... 1.468 μB per atom

a b c (Å): 7.254 7.254 7.254
angles (deg): 90.00 90.00 90.00
Space group F-43m (No. 216)
Unique sites:
Pu 0.000 0.000 0.000 [4 per cell]
Th 0.000 0.000 0.500 [4 per cell]
Pt 0.250 0.250 0.250 [4 per cell]
Au 0.250 0.250 0.750 [4 per cell]

(6)
Material: MgAg2Cl6
Method: DFT, PBE
State: relaxed

Electronic total energy ... -2.86 eV per atom
V ... 25.41 Å³/atom
Raw formation energy ... -0.814 eV/atom
Total moment ... 0.000 μB per atom

a b c (Å): 6.440 6.287 12.316
angles (deg): 90.00 113.50 90.00
Space group P2_1/c (No. 14)
Unique sites:
Mg 0.000 0.000 0.000 [2 per cell]
Ag 0.325 0.046 0.825 [4 per cell]
Cl 0.039 0.239 0.362 [4 per cell]
Cl 0.280 0.717 0.466 [4 per cell]
Cl 0.366 0.177 0.190 [4 per cell]

(7)
Material: LaWAu2
Method: DFT, PBE
State: relaxed

Electronic total energy ... -5.85 eV per atom
V ... 21.80 Å³/atom
Total moment ... 0.238 μB per atom

a b c (Å): 4.042 4.944 8.727
angles (deg): 90.00 90.00 90.00
Space group Immm (No. 71)
Unique sites:
La 0.000 0.000 0.000 [2 per cell]
W 0.000 0.000 0.500 [2 per cell]
Au 0.000 0.500 0.220 [4 per cell]

(8)
Material: VSb
Method: DFT, PBE
State: relaxed

Electronic total energy ... -6.58 eV per atom
V ... 21.22 Å³/atom
Raw formation energy ... 0.040 eV/atom
Total moment ... 0.000 μB per atom

a b c (Å): 8.1368 8.1368 4.4415
angles (deg): 90.00 90.00 120.00
Space group P6_3/mmc (No. 194)
Unique sites:
V 0.1203 0.5601 0.2500 [6 per cell]
Sb 0.1970 0.3940 0.7500 [6 per cell]

(9)
Material: ZrSbAs
Method: DFT, PBE
State: relaxed

Electronic total energy ... -6.14 eV per atom
V ... 24.30 Å³/atom
Raw formation energy ... -0.370 eV/atom
Total moment ... 0.000 μB per atom

a b c (Å): 4.039 5.000 14.440
angles (deg): 90.00 90.00 90.00
Space group Fmm2 (No. 42)
Unique sites:
Zr 0.000 0.000 0.000 [4 per cell]
Sb 0.000 0.000 0.656 [4 per cell]
As 0.000 0.000 0.375 [4 per cell]

(10)
Material: RbC3Se
Method: DFT, PBE
State: relaxed

Electronic total energy ... -3.60 eV per atom
V ... 15.39 Å³/atom
Raw formation energy ... 2.827 eV/atom
Total moment ... 0.000 μB per atom

a b c (Å): 4.253 4.253 4.253
angles (deg): 90.00 90.00 90.00
Space group Pm-3m (No. 221)
Unique sites:
Rb 0.000 0.000 0.000 [1 per cell]
C 0.000 0.500 0.500 [3 per cell]
Se 0.500 0.500 0.500 [1 per cell]

(11)
Material: CuRuI3
Method: DFT, PBE
State: relaxed

Electronic total energy ... -2.62 eV per atom
V ... 31.13 Å³/atom
Raw formation energy ... 0.983 eV/atom
Total moment ... 0.694 μB per atom

a b c (Å): 5.379 5.379 5.379
angles (deg): 90.00 90.00 90.00
Space group Pm-3m (No. 221)
Unique sites:
Cu 0.000 0.000 0.000 [1 per cell]
Ru 0.500 0.500 0.500 [1 per cell]
I 0.000 0.000 0.500 [3 per cell]

(12)
Material: Ba2SbAs
Method: DFT, PBE
State: relaxed

Electronic total energy ... -4.11 eV per atom
V ... 37.70 Å³/atom
Raw formation energy ... -0.952 eV/atom
Total moment ... 0.000 μB per atom

a b c (Å): 4.722 14.486 8.820
angles (deg): 90.00 90.00 90.00
Space group Cmcm (No. 63)
Unique sites:
Ba 0.000 0.126 0.002 [8 per cell]
Sb 0.000 0.493 0.750 [4 per cell]
As 0.000 0.304 0.750 [4 per cell]